DFT (GGA-PBE) results for a geometry-optimized SrCa2W structure.

The space group is Imm2 (No. 44) and the conventional cell measures 3.802, 5.804 and 11.997 Å, with angles of 90.00, 90.00 and 90.00 degrees. The asymmetric unit holds Sr at (0.000, 0.000, 0.000), Ca at (0.000, 0.000, 0.591), Ca at (0.000, 0.500, 0.795) and W at (0.000, 0.500, 0.287).

The density of states at the Fermi level comes out at 7.03 states/eV/cell. For the theoretical density, the calculation gives 4412 kg/m³. For the total energy, the calculation gives -14.892 eV per formula unit. The calculation puts the energy of formation at 0.937 eV per atom.